{"formula": "ZrMn3Tl", "functional": "PBE-GGA", "state": "relaxed", "delta_e_f_mev_per_atom": 1326, "energy_ev_per_cell": -31.8, "relative_energy_mev_per_atom": 58, "lattice_angstrom": [[4.951, 0.000, 0.000], [0.000, 4.951, 0.000], [0.000, 0.000, 4.951]], "species": ["Tl", "Mn", "Mn", "Mn", "Zr"], "fractional_positions": [[0.000, 0.000, 0.000], [0.000, 0.500, 0.000], [0.000, 0.000, 0.500], [0.500, 0.000, 0.000], [0.500, 0.500, 0.500]]}


{"formula": "NdEuMgAg", "functional": "PBE-GGA", "state": "relaxed", "delta_e_f_mev_per_atom": -129, "energy_ev_per_cell": -20.0, "lattice_angstrom": [[5.462, 0.000, 0.000], [2.731, 4.730, 0.000], [2.731, 1.577, 4.459]], "species": ["Eu", "Mg", "Nd", "Ag"], "fractional_positions": [[0.750, 0.750, 0.750], [0.000, 0.000, 0.000], [0.250, 0.250, 0.250], [0.500, 0.500, 0.500]]}


{"formula": "K3CdO", "functional": "PBE-GGA", "state": "relaxed", "e_form_raw_ev_per_atom": -0.606, "energy_ev_per_cell": -24.4, "relative_energy_mev_per_atom": 0, "lattice_angstrom": [[5.120, 0.000, 1.423], [2.433, 6.542, 1.167], [-0.127, -0.366, 10.379]], "species": ["K", "K", "K", "K", "K", "K", "Cd", "Cd", "O", "O"], "fractional_positions": [[0.473, 0.159, 0.894], [0.982, 0.413, 0.624], [0.979, 0.963, 0.078], [0.736, 0.536, 0.991], [0.197, 0.913, 0.692], [0.513, 0.648, 0.326], [0.736, 0.091, 0.436], [0.284, 0.167, 0.265], [0.484, 0.906, 0.125], [0.971, 0.210, 0.848]]}